(1)
Density functional theory data (PBE) for an optimized crystal structure of Na2SbAs2.

The raw formation energy is 0.21 eV/f.u.

The structure belongs to space group I4/mmm (No. 139); the cell edges are 4.609, 4.609 and 11.756 Å and the angles 90.00°, 90.00° and 90.00°. The distinct sites, in fractional coordinates, are Na at (0.000, 0.500, 0.250), Sb at (0.000, 0.000, 0.000) and As at (0.000, 0.000, 0.401).

(2)
Density functional theory data (PBE) for an optimized crystal structure of Na8SbAs2.

The raw formation energy is -4.12 eV/f.u.

The structure belongs to space group C2/m (No. 12); the cell edges are 16.801, 4.869 and 7.849 Å and the angles 90.00°, 117.84° and 90.00°. The distinct sites, in fractional coordinates, are Na at (0.000, 0.000, 0.199), Na at (0.161, 0.500, 0.939), Na at (0.162, 0.000, 0.662), Na at (0.162, 0.500, 0.384), Sb at (0.000, 0.500, 0.500) and As at (0.184, 0.000, 0.183).

(3)
Density functional theory data (PBE) for an optimized crystal structure of Na2SbAs2.

The raw formation energy is -1.03 eV/f.u.

The structure belongs to space group C2/m (No. 12); the cell edges are 11.575, 4.810 and 10.843 Å and the angles 90.00°, 118.86° and 90.00°. The distinct sites, in fractional coordinates, are Na at (0.012, 0.000, 0.196), Na at (0.185, 0.000, 0.589), Sb at (0.210, 0.500, 0.826), As at (0.032, 0.500, 0.403) and As at (0.126, 0.500, 0.065).

(4)
Density functional theory data (PBE) for an optimized crystal structure of Na2SbAs.

The raw formation energy is -1.36 eV/f.u.

The structure belongs to space group P2_1/c (No. 14); the cell edges are 6.578, 6.196 and 12.118 Å and the angles 90.00°, 117.17° and 90.00°. The distinct sites, in fractional coordinates, are Na at (0.212, 0.170, 0.033), Na at (0.245, 0.603, 0.836), Sb at (0.311, 0.095, 0.792) and As at (0.305, 0.667, 0.110).

(5)
Density functional theory data (PBE) for an optimized crystal structure of NaSbAsSe2.

The raw formation energy is 0.71 eV/f.u.

The structure belongs to space group P4/mmm (No. 123); the cell edges are 5.451, 5.451 and 5.333 Å and the angles 90.00°, 90.00° and 90.00°. The distinct sites, in fractional coordinates, are Na at (0.000, 0.000, 0.000), Sb at (0.500, 0.500, 0.500), As at (0.500, 0.500, 0.000) and Se at (0.000, 0.500, 0.500).

(6)
Density functional theory data (PBE) for an optimized crystal structure of NaSbAsSe2.

The raw formation energy is 3.73 eV/f.u.

The structure belongs to space group P4/mmm (No. 123); the cell edges are 5.082, 5.082 and 5.045 Å and the angles 90.00°, 90.00° and 90.00°. The distinct sites, in fractional coordinates, are Na at (0.000, 0.000, 0.000), Sb at (0.500, 0.500, 0.500), As at (0.000, 0.000, 0.500) and Se at (0.000, 0.500, 0.000).

(7)
Density functional theory data (PBE) for an optimized crystal structure of NaSbAsSe3.

The raw formation energy is -2.16 eV/f.u.

The structure belongs to space group P2_1/m (No. 11); the cell edges are 7.568, 4.244 and 11.454 Å and the angles 90.00°, 108.87° and 90.00°. The distinct sites, in fractional coordinates, are Na at (0.035, 0.250, 0.259), Sb at (0.467, 0.750, 0.838), As at (0.425, 0.250, 0.548), Se at (0.237, 0.750, 0.596), Se at (0.261, 0.250, 0.895) and Se at (0.322, 0.750, 0.258).

(8)
Density functional theory data (PBE) for an optimized crystal structure of NaSbTe2As.

The raw formation energy is 0.83 eV/f.u.

The structure belongs to space group P4/mmm (No. 123); the cell edges are 5.703, 5.703 and 5.263 Å and the angles 90.00°, 90.00° and 90.00°. The distinct sites, in fractional coordinates, are Na at (0.000, 0.000, 0.000), Sb at (0.500, 0.500, 0.000), Te at (0.000, 0.500, 0.500) and As at (0.500, 0.500, 0.500).

Short version: magnetization = 0.000 0.000 0.000 0.000 1.168 0.000 0.000 0.000 μB/cell, in the order given.
Short version: calculated volume = 25.0 25.8 26.4 27.5 31.7 26.1 29.0 34.2 Å³/atom, in the order given.
Short version: final energy = -31.708 -56.185 -68.354 -51.092 -16.348 -13.335 -45.400 -15.548 eV/cell, in the order given.